Here is a relaxed SrCa2Y crystal from the Alexandria database. Energies are from PBEsol. Values from VASP.

Quantum ESPRESSO input file:
```
&SYSTEM
  ibrav = 0, nat = 4, ntyp = 3
/
ATOMIC_SPECIES
Sr 87.62 Sr.upf
Ca 40.08 Ca.upf
Y 88.91 Y.upf
ATOMIC_POSITIONS crystal
Sr 0.0000 0.0000 0.0000
Ca 0.2500 0.7500 0.5000
Ca 0.5000 0.5000 0.0000
Y 0.7500 0.2500 0.5000
CELL_PARAMETERS angstrom
-2.7069 2.7069 5.4156
2.7069 -2.7069 5.4156
2.7069 2.7069 -5.4156
```

Computed properties:
ρ ... 2.7 Mg/m³
Space-group type ... No. 119
Energy relative to the lowest polymorph listed for this composition ... 76 meV per atom
E ... -3.0560 eV/atom
ΔH_f (0 K) ... 0.1762 eV/atom